1.
AcRhAu PBE optimized geometry; final energy = -5.551 eV/atom; relative energy among the computed polymorphs = 0.037 eV per atom
1.0
5.385 0.000 0.000
0.000 4.206 0.000
0.000 0.000 6.651
Ac Rh Au
2 2 2
direct
0.250 0.000 0.244
0.750 0.000 0.756
0.000 0.500 0.000
0.500 0.500 0.000
0.250 0.500 0.640
0.750 0.500 0.360

=====

2.
AcRhAu PBE optimized geometry; final energy = -5.575 eV/atom; relative energy among the computed polymorphs = 0.012 eV per atom
1.0
-2.401 4.063 3.860
2.401 -4.063 3.860
2.401 4.063 -3.860
Ac Rh Au
2 2 2
direct
0.000 0.000 0.000
0.500 0.000 0.500
0.451 0.701 0.750
0.549 0.299 0.250
0.098 0.348 0.750
0.902 0.652 0.250

=====

3.
Ac5Rh2Au2 PBE optimized geometry; final energy = -5.324 eV/atom
1.0
8.037 -4.140 0.000
8.037 4.140 0.000
0.000 0.000 8.272
Ac Rh Au
10 4 4
direct
0.000 0.000 0.000
0.040 0.702 0.666
0.202 0.540 0.166
0.298 0.960 0.666
0.460 0.798 0.166
0.500 0.500 0.500
0.540 0.202 0.834
0.702 0.040 0.334
0.798 0.460 0.834
0.960 0.298 0.334
0.134 0.866 0.367
0.366 0.634 0.867
0.634 0.366 0.133
0.866 0.134 0.633
0.206 0.206 0.000
0.294 0.294 0.500
0.706 0.706 0.500
0.794 0.794 0.000

=====

4.
Ac4RhAu PBE optimized geometry; final energy = -5.003 eV/atom; relative energy among the computed polymorphs = 0.000 eV per atom
1.0
4.507 -8.292 0.000
4.507 8.292 0.000
-4.315 0.000 6.128
Ac Rh Au
8 2 2
direct
0.011 0.410 0.220
0.188 0.291 0.736
0.291 0.188 0.236
0.410 0.011 0.720
0.590 0.989 0.280
0.709 0.812 0.764
0.812 0.709 0.264
0.989 0.590 0.780
0.073 0.927 0.750
0.927 0.073 0.250
0.413 0.587 0.250
0.587 0.413 0.750

=====

5.
Ac12Rh5Au3 PBE optimized geometry; final energy = -5.227 eV/atom
1.0
-9.000 9.000 9.000
9.000 -9.000 9.000
9.000 9.000 -9.000
Ac Rh Au
48 20 12
direct
0.036 0.212 0.125
0.036 0.324 0.910
0.087 0.712 0.676
0.087 0.875 0.410
0.090 0.625 0.413
0.090 0.964 0.676
0.125 0.036 0.212
0.125 0.590 0.913
0.176 0.212 0.587
0.176 0.464 0.590
0.212 0.125 0.036
0.212 0.587 0.176
0.288 0.324 0.913
0.288 0.464 0.375
0.324 0.910 0.036
0.324 0.913 0.288
0.375 0.288 0.464
0.375 0.587 0.910
0.410 0.087 0.875
0.410 0.824 0.536
0.413 0.090 0.625
0.413 0.824 0.788
0.464 0.375 0.288
0.464 0.590 0.176
0.536 0.410 0.824
0.536 0.625 0.712
0.587 0.176 0.212
0.587 0.910 0.375
0.590 0.176 0.464
0.590 0.913 0.125
0.625 0.413 0.090
0.625 0.712 0.536
0.676 0.087 0.712
0.676 0.090 0.964
0.712 0.536 0.625
0.712 0.676 0.087
0.788 0.413 0.824
0.788 0.875 0.964
0.824 0.536 0.410
0.824 0.788 0.413
0.875 0.410 0.087
0.875 0.964 0.788
0.910 0.036 0.324
0.910 0.375 0.587
0.913 0.125 0.590
0.913 0.288 0.324
0.964 0.676 0.090
0.964 0.788 0.875
0.000 0.000 0.000
0.000 0.000 0.500
0.000 0.500 0.000
0.000 0.500 0.500
0.125 0.750 0.875
0.125 0.875 0.250
0.250 0.125 0.875
0.250 0.625 0.375
0.375 0.250 0.625
0.375 0.625 0.750
0.500 0.000 0.000
0.500 0.000 0.500
0.500 0.500 0.000
0.500 0.500 0.500
0.625 0.375 0.250
0.625 0.750 0.375
0.750 0.375 0.625
0.750 0.875 0.125
0.875 0.125 0.750
0.875 0.250 0.125
0.125 0.250 0.375
0.125 0.375 0.750
0.250 0.375 0.125
0.250 0.875 0.625
0.375 0.125 0.250
0.375 0.750 0.125
0.625 0.250 0.875
0.625 0.875 0.750
0.750 0.125 0.375
0.750 0.625 0.875
0.875 0.625 0.250
0.875 0.750 0.625

=====

6.
AcRhAu PBE optimized geometry; final energy = -5.414 eV/atom; relative energy among the computed polymorphs = 0.173 eV per atom
1.0
0.000 3.391 3.391
3.391 0.000 3.391
3.391 3.391 0.000
Ac Rh Au
1 1 1
direct
0.000 0.000 0.000
0.750 0.750 0.750
0.500 0.500 0.500